[1]
Sc2CuPb | PBE | optimized geometry

Values from the calculation:
As for the space group: No. 44. The calculation puts the calculated volume at 85 Å³/cell. For the formation energy, the calculation gives -0.21 eV/atom.

abc: 5.945 5.945 5.945
angles: 146.25 132.88 59.21
Fractional coordinates of all 4 atoms:
Sc (0.000, 0.000, 0.000)
Sc (0.724, 0.224, 0.500)
Cu (0.505, 0.505, 0.000)
Pb (0.285, 0.785, 0.500)

[2]
NdPuGaGe | PBE | optimized geometry

Values from the calculation:
As for the space group: No. 216. The calculation puts the calculated volume at 96 Å³/cell. For the formation energy, the calculation gives -0.42 eV/atom.

abc: 5.136 5.136 5.136
angles: 60.00 60.00 60.00
Fractional coordinates of all 4 atoms:
Nd (0.000, 0.000, 0.000)
Pu (0.500, 0.500, 0.500)
Ga (0.250, 0.250, 0.250)
Ge (0.750, 0.750, 0.750)